Record 1
{
  "formula": "Pm2Si2Ni",
  "functional": "PBE",
  "state": "optimized geometry",
  "total_energy_ev_per_atom": -5.972,
  "sg": "C2/m (12)",
  "lattice": [[4.136, 0.000, 0.000], [2.068, 5.396, -0.095], [2.068, 0.673, 9.437]],
  "species": ["Si", "Si", "Si", "Si", "Pm", "Pm", "Pm", "Pm", "Ni", "Ni"],
  "fractional_positions": [[0.608, 0.899, 0.885], [0.963, 0.665, 0.410], [0.392, 0.101, 0.115], [0.037, 0.335, 0.590], [0.291, 0.774, 0.645], [0.709, 0.226, 0.355], [0.897, 0.308, 0.899], [0.103, 0.692, 0.101], [0.556, 0.200, 0.688], [0.444, 0.800, 0.312]]
}


Record 2
{
  "formula": "Pm3SiNi",
  "functional": "PBE",
  "state": "optimized geometry",
  "total_energy_ev_per_atom": -5.453,
  "sg": "P2_1/c (14)",
  "lattice": [[6.013, 0.000, 0.000], [0.000, 8.220, -0.102], [0.000, -3.354, 10.510]],
  "species": ["Ni", "Ni", "Ni", "Ni", "Pm", "Pm", "Pm", "Pm", "Pm", "Pm", "Pm", "Pm", "Pm", "Pm", "Pm", "Pm", "Si", "Si", "Si", "Si"],
  "fractional_positions": [[0.004, 0.292, 0.849], [0.504, 0.208, 0.151], [0.496, 0.792, 0.849], [0.996, 0.708, 0.151], [0.397, 0.139, 0.898], [0.622, 0.440, 0.776], [0.883, 0.781, 0.409], [0.603, 0.861, 0.102], [0.878, 0.940, 0.776], [0.378, 0.560, 0.224], [0.617, 0.281, 0.409], [0.117, 0.219, 0.591], [0.122, 0.060, 0.224], [0.897, 0.361, 0.102], [0.383, 0.719, 0.591], [0.103, 0.639, 0.898], [0.103, 0.427, 0.402], [0.397, 0.927, 0.402], [0.897, 0.573, 0.598], [0.603, 0.073, 0.598]]
}